Version one
Computed, not measured: a relaxed CaTcMo2 crystal at the PBE level of DFT.

Cell lengths 4.583, 4.583, 4.583 Å; angles 60.00, 60.00, 60.00 degrees
Positions (direct):
Ca  0.000  0.000  0.000
Tc  0.500  0.500  0.500
Mo  0.250  0.250  0.250
Mo  0.750  0.750  0.750

**Space-group type**: No. 225



Version two
Computed, not measured: a relaxed CaTcMo2 crystal at the PBE level of DFT.

Cell lengths 3.183, 3.183, 7.405 Å; angles 90.00, 90.00, 90.00 degrees
Positions (direct):
Ca  0.000  0.000  0.000
Tc  0.500  0.500  0.703
Mo  0.000  0.000  0.514
Mo  0.500  0.500  0.314

**Space-group type**: No. 99



Version three
Computed, not measured: a relaxed CaTcMo2 crystal at the PBE level of DFT.

Cell lengths 5.568, 5.568, 2.662 Å; angles 90.00, 90.00, 122.03 degrees
Positions (direct):
Ca  0.000  0.000  0.000
Tc  0.500  0.500  0.000
Mo  0.000  0.500  0.500
Mo  0.500  0.000  0.500

**Space-group type**: No. 65



Version four
Computed, not measured: a relaxed CaTcMo2 crystal at the PBE level of DFT.

Cell lengths 4.595, 4.595, 4.595 Å; angles 60.00, 60.00, 60.00 degrees
Positions (direct):
Ca  0.000  0.000  0.000
Tc  0.250  0.250  0.250
Mo  0.500  0.500  0.500
Mo  0.750  0.750  0.750

**Space-group type**: No. 216



Most stable structure, least stable structure: version two, version three.



Version one
Computed, not measured: a relaxed CaTcMo crystal at the PBE level of DFT.

Cell lengths 4.453, 4.453, 4.453 Å; angles 60.00, 60.00, 60.00 degrees
Positions (direct):
Ca  0.000  0.000  0.000
Tc  0.750  0.750  0.750
Mo  0.500  0.500  0.500

**Space-group type**: No. 216



Version two
Computed, not measured: a relaxed CaTcMo crystal at the PBE level of DFT.

Cell lengths 4.739, 4.739, 2.763 Å; angles 90.00, 90.00, 120.00 degrees
Positions (direct):
Ca  0.000  0.000  0.000
Tc  0.333  0.667  0.624
Mo  0.667  0.333  0.380

**Space-group type**: No. 156



Most stable structure, least stable structure: version two, version one.



Version one
Computed, not measured: a relaxed Ca2TcMo crystal at the PBE level of DFT.

Cell lengths 6.339, 6.339, 6.339 Å; angles 100.39, 100.39, 129.73 degrees
Positions (direct):
Ca  0.106  0.625  0.981
Ca  0.375  0.356  0.481
Ca  0.644  0.125  0.019
Ca  0.875  0.894  0.519
Tc  0.000  0.000  0.000
Tc  0.750  0.250  0.500
Mo  0.250  0.750  0.500
Mo  0.500  0.500  0.000

**Space-group type**: No. 122



Version two
Computed, not measured: a relaxed Ca2TcMo crystal at the PBE level of DFT.

Cell lengths 3.967, 3.967, 5.075 Å; angles 90.00, 90.00, 90.00 degrees
Positions (direct):
Ca  0.000  0.500  0.000
Ca  0.500  0.000  0.000
Tc  0.000  0.000  0.500
Mo  0.500  0.500  0.500

**Space-group type**: No. 123



Most stable structure, least stable structure: version two, version one.



Version one
Computed, not measured: a relaxed Ca2TcMo crystal at the PBE level of DFT.

Cell lengths 5.862, 5.862, 4.349 Å; angles 111.68, 111.68, 35.82 degrees
Positions (direct):
Ca  0.233  0.233  0.233
Ca  0.767  0.767  0.767
Tc  0.500  0.500  0.000
Mo  0.000  0.000  0.500

**Space-group type**: No. 12



Version two
Computed, not measured: a relaxed Ca2TcMo crystal at the PBE level of DFT.

Cell lengths 5.943, 5.943, 5.943 Å; angles 145.09, 126.24, 65.73 degrees
Positions (direct):
Ca  0.000  0.000  0.000
Ca  0.710  0.210  0.500
Tc  0.441  0.441  0.000
Mo  0.287  0.787  0.500

**Space-group type**: No. 44



Most stable structure, least stable structure: version two, version one.



Version one
Computed, not measured: a relaxed Ca2TcMo crystal at the PBE level of DFT.

Cell lengths 4.851, 4.851, 4.851 Å; angles 60.00, 60.00, 60.00 degrees
Positions (direct):
Ca  0.000  0.000  0.000
Ca  0.250  0.250  0.250
Tc  0.500  0.500  0.500
Mo  0.750  0.750  0.750

**Space-group type**: No. 216



Version two
Computed, not measured: a relaxed Ca2TcMo crystal at the PBE level of DFT.

Cell lengths 4.355, 4.355, 7.865 Å; angles 94.83, 94.83, 44.48 degrees
Positions (direct):
Ca  0.000  0.000  0.000
Ca  0.215  0.215  0.603
Tc  0.747  0.747  0.244
Mo  0.462  0.462  0.352

**Space-group type**: No. 8



Version three
Computed, not measured: a relaxed Ca2TcMo crystal at the PBE level of DFT.

Cell lengths 2.818, 5.068, 5.611 Å; angles 90.00, 90.16, 90.00 degrees
Positions (direct):
Ca  0.001  0.000  0.253
Ca  0.999  0.000  0.747
Tc  0.500  0.500  0.500
Mo  0.500  0.500  0.000

**Space-group type**: No. 10



Most stable structure, least stable structure: version two, version three.



Version one
Computed, not measured: a relaxed Ca2TcMo crystal at the PBE level of DFT.

Cell lengths 5.799, 5.799, 2.808 Å; angles 90.13, 90.13, 122.07 degrees
Positions (direct):
Ca  0.000  0.500  0.000
Ca  0.500  0.000  0.000
Tc  0.000  0.000  0.500
Mo  0.500  0.500  0.500

**Space-group type**: No. 12



Version two
Computed, not measured: a relaxed Ca2TcMo crystal at the PBE level of DFT.

Cell lengths 10.394, 10.394, 10.394 Å; angles 16.82, 16.82, 16.82 degrees
Positions (direct):
Ca  0.247  0.247  0.247
Ca  0.753  0.753  0.753
Tc  0.500  0.500  0.500
Mo  0.000  0.000  0.000

**Space-group type**: No. 166



Version three
Computed, not measured: a relaxed Ca2TcMo crystal at the PBE level of DFT.

Cell lengths 5.015, 5.015, 5.015 Å; angles 60.00, 60.00, 60.00 degrees
Positions (direct):
Ca  0.250  0.250  0.250
Ca  0.750  0.750  0.750
Tc  0.000  0.000  0.000
Mo  0.500  0.500  0.500

**Space-group type**: No. 225



Version four
Computed, not measured: a relaxed Ca2TcMo crystal at the PBE level of DFT.

Cell lengths 3.283, 3.283, 8.995 Å; angles 90.00, 90.00, 90.00 degrees
Positions (direct):
Ca  0.000  0.000  0.000
Ca  0.500  0.500  0.384
Tc  0.000  0.000  0.622
Mo  0.500  0.500  0.751

**Space-group type**: No. 99



Most stable structure, least stable structure: version four, version three.



Version one
Computed, not measured: a relaxed Ca2TcMo crystal at the PBE level of DFT.

Cell lengths 10.223, 10.223, 10.223 Å; angles 19.33, 19.33, 19.33 degrees
Positions (direct):
Ca  0.000  0.000  0.000
Ca  0.219  0.219  0.219
Tc  0.470  0.470  0.470
Mo  0.755  0.755  0.755

**Space-group type**: No. 160



Version two
Computed, not measured: a relaxed Ca2TcMo crystal at the PBE level of DFT.

Cell lengths 2.818, 2.818, 10.134 Å; angles 90.00, 90.00, 90.48 degrees
Positions (direct):
Ca  0.000  0.000  0.245
Ca  0.000  0.000  0.755
Tc  0.500  0.500  0.000
Mo  0.500  0.500  0.500

**Space-group type**: No. 65



Most stable structure, least stable structure: version one, version two.



Version one
Computed, not measured: a relaxed CaTcMo3 crystal at the PBE level of DFT.

Cell lengths 4.799, 4.799, 4.799 Å; angles 90.00, 90.00, 90.00 degrees
Positions (direct):
Ca  0.000  0.000  0.000
Tc  0.500  0.500  0.500
Mo  0.000  0.500  0.500
Mo  0.500  0.000  0.500
Mo  0.500  0.500  0.000

**Space-group type**: No. 221



Version two
Computed, not measured: a relaxed CaTcMo3 crystal at the PBE level of DFT.

Cell lengths 4.508, 4.508, 4.508 Å; angles 90.00, 90.00, 90.00 degrees
Positions (direct):
Ca  0.000  0.000  0.000
Tc  0.500  0.500  0.500
Mo  0.000  0.000  0.500
Mo  0.000  0.500  0.000
Mo  0.500  0.000  0.000

**Space-group type**: No. 221



Most stable structure, least stable structure: version one, version two.



Version one
Computed, not measured: a relaxed CaTeMo crystal at the PBE level of DFT.

Cell lengths 4.629, 4.629, 3.972 Å; angles 90.00, 90.00, 120.00 degrees
Positions (direct):
Ca  0.000  0.000  0.000
Te  0.333  0.667  0.500
Mo  0.667  0.333  0.500

**Space-group type**: No. 187



Version two
Computed, not measured: a relaxed CaTeMo crystal at the PBE level of DFT.

Cell lengths 4.881, 4.881, 4.881 Å; angles 60.00, 60.00, 60.00 degrees
Positions (direct):
Ca  0.000  0.000  0.000
Te  0.500  0.500  0.500
Mo  0.250  0.250  0.250

**Space-group type**: No. 216



Most stable structure, least stable structure: version one, version two.



Version one
Computed, not measured: a relaxed CaTeMo crystal at the PBE level of DFT.

Cell lengths 3.557, 3.557, 6.825 Å; angles 90.00, 90.00, 120.00 degrees
Positions (direct):
Ca  0.000  0.000  0.000
Te  0.667  0.333  0.608
Mo  0.333  0.667  0.353

**Space-group type**: No. 156



Version two
Computed, not measured: a relaxed CaTeMo crystal at the PBE level of DFT.

Cell lengths 5.171, 5.171, 5.171 Å; angles 60.00, 60.00, 60.00 degrees
Positions (direct):
Ca  0.000  0.000  0.000
Te  0.750  0.750  0.750
Mo  0.250  0.250  0.250

**Space-group type**: No. 216



Version three
Computed, not measured: a relaxed CaTeMo crystal at the PBE level of DFT.

Cell lengths 4.216, 4.216, 7.871 Å; angles 90.00, 90.00, 90.00 degrees
Positions (direct):
Ca  0.250  0.250  0.157
Ca  0.750  0.750  0.843
Te  0.250  0.250  0.734
Te  0.750  0.750  0.266
Mo  0.250  0.750  0.500
Mo  0.750  0.250  0.500

**Space-group type**: No. 129



Most stable structure, least stable structure: version three, version two.



Version one
Computed, not measured: a relaxed CaTeMo3 crystal at the PBE level of DFT.

Cell lengths 4.748, 4.748, 4.748 Å; angles 90.00, 90.00, 90.00 degrees
Positions (direct):
Ca  0.000  0.000  0.000
Te  0.500  0.500  0.500
Mo  0.000  0.000  0.500
Mo  0.000  0.500  0.000
Mo  0.500  0.000  0.000

**Space-group type**: No. 221



Version two
Computed, not measured: a relaxed CaTeMo3 crystal at the PBE level of DFT.

Cell lengths 4.974, 4.974, 4.974 Å; angles 90.00, 90.00, 90.00 degrees
Positions (direct):
Ca  0.000  0.000  0.000
Te  0.500  0.500  0.500
Mo  0.000  0.500  0.500
Mo  0.500  0.000  0.500
Mo  0.500  0.500  0.000

**Space-group type**: No. 221



Most stable structure, least stable structure: version two, version one.



Version one
Computed, not measured: a relaxed CaTi3Mo crystal at the PBE level of DFT.

Cell lengths 4.499, 4.499, 4.499 Å; angles 90.00, 90.00, 90.00 degrees
Positions (direct):
Ca  0.000  0.000  0.000
Ti  0.000  0.000  0.500
Ti  0.000  0.500  0.000
Ti  0.500  0.000  0.000
Mo  0.500  0.500  0.500

**Space-group type**: No. 221



Version two
Computed, not measured: a relaxed CaTi3Mo crystal at the PBE level of DFT.

Cell lengths 4.873, 4.873, 4.873 Å; angles 90.00, 90.00, 90.00 degrees
Positions (direct):
Ca  0.000  0.000  0.000
Ti  0.000  0.500  0.500
Ti  0.500  0.000  0.500
Ti  0.500  0.500  0.000
Mo  0.500  0.500  0.500

**Space-group type**: No. 221



Most stable structure, least stable structure: version two, version one.